The following is a DFT calculation (PBE-GGA) of crystalline PIrSO at its relaxed geometry.

abc: 3.5046 3.5046 6.3556
angles: 90.00 90.00 120.00
Space group P3m1 (No. 156)
Asymmetric unit:
P 0.0000 0.0000 0.0000
Ir 0.6667 0.3333 0.7886
S 0.3333 0.6667 0.5969
O 0.0000 0.0000 0.2357

As for the energy relative to the lowest polymorph listed for this composition: 0.113 eV/atom. The value obtained for the uncorrected formation energy is -0.6170 eV per atom. The value obtained for the total magnetic moment is 0.000 μB/atom.

---

The following is a DFT calculation (PBE-GGA) of crystalline PIrSO at its relaxed geometry.

abc: 5.958 3.989 7.624
angles: 90.00 112.96 90.00
Space group Cm (No. 8)
Asymmetric unit:
P 0.000 0.000 0.000
Ir 0.410 0.000 0.106
S 0.057 0.500 0.416
O 0.397 0.000 0.527

As for the energy relative to the lowest polymorph listed for this composition: 0.443 eV/atom. The value obtained for the uncorrected formation energy is -0.2877 eV per atom. The value obtained for the total magnetic moment is 0.000 μB/atom.

---

The following is a DFT calculation (PBE-GGA) of crystalline PIrSO at its relaxed geometry.

abc: 3.546 4.472 4.587
angles: 104.57 101.35 90.22
Space group P1 (No. 1)
Asymmetric unit:
P 0.000 0.000 0.000
Ir 0.484 0.278 0.925
S 0.315 0.307 0.416
O 0.979 0.647 0.958

As for the energy relative to the lowest polymorph listed for this composition: 0.122 eV/atom. The value obtained for the uncorrected formation energy is -0.6082 eV per atom. The value obtained for the total magnetic moment is 0.000 μB/atom.

---

The following is a DFT calculation (PBE-GGA) of crystalline ScPIrO2 at its relaxed geometry.

abc: 3.847 3.847 5.025
angles: 90.00 90.00 90.00
Space group P4/mmm (No. 123)
Asymmetric unit:
Sc 0.000 0.000 0.000
P 0.500 0.500 0.000
Ir 0.500 0.500 0.500
O 0.000 0.500 0.500

As for the energy relative to the lowest polymorph listed for this composition: 0.000 eV/atom. The value obtained for the uncorrected formation energy is -0.6914 eV per atom. The value obtained for the total magnetic moment is 0.000 μB/atom.

---

The following is a DFT calculation (PBE-GGA) of crystalline ScPIrO2 at its relaxed geometry.

abc: 3.790 3.790 6.192
angles: 90.00 90.00 90.00
Space group P4/mmm (No. 123)
Asymmetric unit:
Sc 0.000 0.000 0.000
P 0.000 0.000 0.500
Ir 0.500 0.500 0.500
O 0.000 0.500 0.000

As for the energy relative to the lowest polymorph listed for this composition: 0.266 eV/atom. The value obtained for the uncorrected formation energy is -0.4257 eV per atom. The value obtained for the total magnetic moment is 0.404 μB/atom.

---

The following is a DFT calculation (PBE-GGA) of crystalline P2IrSeO at its relaxed geometry.

abc: 4.721 4.721 3.501
angles: 90.00 90.00 90.00
Space group P4/mmm (No. 123)
Asymmetric unit:
P 0.000 0.500 0.000
Ir 0.000 0.000 0.500
Se 0.500 0.500 0.000
O 0.500 0.500 0.500

As for the energy relative to the lowest polymorph listed for this composition: 0.606 eV/atom. The value obtained for the uncorrected formation energy is 0.8592 eV per atom. The value obtained for the total magnetic moment is 0.000 μB/atom.